VASP calculation (PBE) on a relaxed Ga2Pd6Pt crystal.

## Properties
Crystal system: orthorhombic
D(E_F) (states/eV per cell): 5.38
Calculated volume (Å³/f.u.): 137.1
ΔH_f (0 K) (eV per atom): -0.40
VASP energy (eV/atom): -5.209
Energy relative to the lowest polymorph listed for this composition (meV per atom): 0
SG: Fmmm, No. 69

```
Ga2Pd6Pt
1.0
0.000 5.343 6.254
2.051 0.000 6.254
2.051 5.343 0.000
Ga Pd Pt
2 6 1
direct
0.152 0.152 0.848 Ga
0.848 0.848 0.152 Ga
0.168 0.832 0.168 Pd
0.172 0.481 0.519 Pd
0.481 0.172 0.828 Pd
0.519 0.828 0.172 Pd
0.828 0.519 0.481 Pd
0.832 0.168 0.832 Pd
0.500 0.500 0.500 Pt
```